Record 1
The following is a DFT calculation (PBE-GGA) of CuB2IBr after structural relaxation.

Calculated values
Energy relative to the elements, uncorrected in eV/atom: 1.9541
Density of states at the Fermi level in states/eV per atom: 0.4553
E in eV for the cell shown: -10.9

Cell lengths 4.2644, 4.2644, 8.0598 Å; angles 90.00, 90.00, 90.00 degrees
Closest atoms and distances in Å follow each position.
Space group P4/mmm (No. 123)
One atom of each set of equivalent atoms:
1 Cu 0.0000 0.0000 0.0000 [1 per cell]  4 I 3.02
2 B 0.0000 0.5000 0.5000 [2 per cell]  2 Br 2.13
3 I 0.5000 0.5000 0.0000 [1 per cell]  4 Cu 3.02
4 Br 0.5000 0.5000 0.5000 [1 per cell]  4 B 2.13



Record 2
The following is a DFT calculation (PBE-GGA) of KCuB2Br8 after structural relaxation.

Calculated values
Energy relative to the elements, uncorrected in eV/atom: -0.5951
Density of states at the Fermi level in states/eV per atom: 0.0000
E in eV for the cell shown: -117.2

Cell lengths 6.3679, 6.3679, 28.8497 Å; angles 90.00, 90.00, 120.00 degrees
Closest atoms and distances in Å follow each position.
Space group R-3 (No. 148, hexagonal axes)
One atom of each set of equivalent atoms:
1 K 0.0000 0.0000 0.0000 [3 per cell]  12 Br 3.71-3.89
2 Cu 0.0000 0.0000 0.5000 [3 per cell]  6 Br 2.73
3 B 0.0000 0.0000 0.2455 [6 per cell]  4 Br 2.03-2.04
4 Br 0.0000 0.0000 0.3160 [6 per cell]  1 B 2.03
5 Br 0.0086 0.6994 0.2236 [18 per cell]  1 B 2.04